A plane-wave DFT calculation with PBE was carried out for a geometry-optimized Mg2FeNi structure.

```
Mg2FeNi
1.0
8.802 -0.016 -0.010
8.350 2.782 -0.010
8.350 1.346 2.434
Fe Ni Mg
1 1 2
Direct
0.750 0.750 0.750
0.250 0.250 0.250
0.503 0.503 0.503
0.997 0.997 0.997
```

Values from the calculation:
Formation energy from the elements   0.188 eV per atom
Fermi-level density of states   2.9 states/eV per cell
M_tot   2.88 μB/f.u.

***

A plane-wave DFT calculation with PBE was carried out for a geometry-optimized MgFe3Ni structure.

```
MgFe3Ni
1.0
-1.840 2.365 -3.155
-2.223 -3.498 -1.326
-3.257 1.051 2.688
Fe Ni Mg
3 1 1
Direct
0.000 0.000 0.500
0.500 0.000 0.000
0.000 0.500 0.000
0.500 0.500 0.500
0.000 0.000 0.000
```

Values from the calculation:
Formation energy from the elements   1.715 eV per atom
Fermi-level density of states   5.4 states/eV per cell
Energy relative to the lowest polymorph listed for this composition   4.78 eV/f.u.
M_tot   8.36 μB/f.u.

***

A plane-wave DFT calculation with PBE was carried out for a geometry-optimized Mg2FeNi2 structure.

```
Mg2FeNi2
1.0
7.238 0.000 0.000
0.000 7.238 0.000
0.000 0.000 2.728
Mg Fe Ni
4 2 4
Direct
0.865 0.635 0.000
0.135 0.365 0.000
0.635 0.135 0.000
0.365 0.865 0.000
0.500 0.500 0.000
0.000 0.000 0.000
0.335 0.165 0.500
0.835 0.335 0.500
0.665 0.835 0.500
0.165 0.665 0.500
```

Values from the calculation:
Formation energy from the elements   0.236 eV per atom
Fermi-level density of states   6.8 states/eV per cell
M_tot   3.20 μB/f.u.

***

A plane-wave DFT calculation with PBE was carried out for a geometry-optimized Mg2FeNi structure.

```
Mg2FeNi
1.0
4.198 0.000 0.000
0.000 2.788 0.032
0.000 1.212 5.239
Mg Ni Fe
2 1 1
Direct
0.000 0.976 0.961
0.500 0.279 0.289
0.000 0.631 0.514
0.500 0.615 0.737
```

Values from the calculation:
Formation energy from the elements   0.104 eV per atom
Fermi-level density of states   2.1 states/eV per cell
M_tot   2.76 μB/f.u.

***

A plane-wave DFT calculation with PBE was carried out for a geometry-optimized MgFe4Ni15 structure.

```
MgFe4Ni15
1.0
-2.149 -2.746 0.753
0.463 -1.268 -3.302
13.973 -9.409 5.571
Ni Fe Mg
15 4 1
Direct
0.500 0.500 0.000
0.000 0.500 0.893
0.000 0.500 0.303
0.500 0.000 0.303
0.500 0.500 0.204
0.500 0.000 0.107
0.000 0.500 0.500
0.500 0.000 0.893
0.000 0.500 0.697
0.000 0.500 0.107
0.500 0.500 0.796
0.500 0.500 0.401
0.500 0.500 0.599
0.500 0.000 0.500
0.500 0.000 0.697
0.000 0.000 0.401
0.000 0.000 0.798
0.000 0.000 0.599
0.000 0.000 0.202
0.000 0.000 0.000
```

Values from the calculation:
Formation energy from the elements   -0.091 eV per atom
Fermi-level density of states   13.9 states/eV per cell
M_tot   20.04 μB/f.u.

***

| no. | total energy (eV per cell) |
| --- | --- |
| 1 | -16.7 |
| 2 | -24.2 |
| 3 | -44.1 |
| 4 | -17.0 |
| 5 | -124.0 |